Entry A
SrCrRh | Alexandria | GGA-PBE | optimized geometry; SG = No. 216
1.0
-1.6692 3.4285 2.8987
-4.3055 1.9358 -0.8114
-3.6437 -0.9350 2.9652
Cr Rh Sr
1 1 1
Direct
0.0000 0.0000 0.0000
0.5000 0.5000 0.5000
0.7500 0.7500 0.7500

***

Entry B
SrCrRh | Alexandria | GGA-PBE | optimized geometry; SG = No. 107
1.0
-1.1014 5.5028 -2.5075
-4.1639 4.1945 -1.6889
-0.2466 2.2090 2.6115
Cr Rh Sr
1 1 1
Direct
0.0481 0.0481 0.9519
0.6232 0.6232 0.3768
0.3287 0.3287 0.6713

***

Need the numbers? Relative energies in meV per atom: entry A 875; entry B 0.

***

Entry A
TaCrRh2 | Alexandria | GGA-PBE | optimized geometry; SG = No. 99
1.0
3.1630 0.0000 0.0000
0.0000 3.1630 0.0000
0.0000 0.0000 5.9232
Cr Rh Ta
1 2 1
Direct
0.5000 0.5000 0.7761
0.0000 0.0000 0.9619
0.5000 0.5000 0.2612
0.0000 0.0000 0.5008

***

Entry B
TaCrRh2 | Alexandria | GGA-PBE | optimized geometry; SG = No. 216
1.0
4.3597 0.0000 0.0000
2.1799 3.7756 0.0000
2.1799 1.2585 3.5597
Cr Rh Ta
1 2 1
Direct
0.5000 0.5000 0.5000
0.0000 0.0000 0.0000
0.2500 0.2500 0.2500
0.7500 0.7500 0.7500

***

Entry C
TaCrRh2 | Alexandria | GGA-PBE | optimized geometry; SG = No. 8
1.0
4.7384 0.0023 -0.0072
3.9100 2.6766 -0.0072
0.8495 0.2631 4.6623
Cr Rh Ta
1 2 1
Direct
0.2556 0.2556 0.2104
0.9957 0.9957 0.0307
0.7482 0.7482 0.7394
0.5004 0.5004 0.5195

***

Need the numbers? Relative energies in meV per atom: entry A 37; entry B 151; entry C 0.